A crystal of Li3Zn relaxed with PBEsol. Source: Alexandria via LeMat-Bulk, functional SCAN.

Cell lengths 2.9436, 4.7063, 5.3922 Å; angles 115.87, 105.84, 90.00 degrees
Positions (direct):
Zn  0.0000  0.6336  0.0000
Li  0.7377  0.7764  0.4753
Li  0.2623  0.3011  0.5247
Li  0.5000  0.1222  0.0000

Results
The energy of formation is -8.8 kJ per mole of atoms. The space-group type is No. 44. For the uncorrected energy, the calculation gives -21.05 eV/cell. The calculation puts the density at 2.2 Mg/m³.